(1)
# CsAcP | the Alexandria database | PBE | optimized geometry
data_CsAcP
_chemical_formula_sum 'Cs2 Ac2 P2'
_space_group_name_H-M_alt 'I 4 m m'
_space_group_IT_number 107
_space_group_name_Hall 'I 4 -2'
_cell_length_a 4.0982
_cell_length_b 4.0982
_cell_length_c 16.4483
_cell_angle_alpha 90.00
_cell_angle_beta 90.00
_cell_angle_gamma 90.00
loop_
_atom_site_label
_atom_site_type_symbol
_atom_site_fract_x
_atom_site_fract_y
_atom_site_fract_z
Cs1 Cs 0.0000 0.0000 0.0000
Ac1 Ac 0.0000 0.0000 0.2255
P1 P 0.0000 0.0000 0.6670
# Energy of formation from the pure elements (eV per atom): -0.573
# Total magnetic moment (μB/f.u.): 0.0

(2)
# CsAcP2 | the Alexandria database | PBE | optimized geometry
data_CsAcP2
_chemical_formula_sum 'Cs1 Ac1 P2'
_space_group_name_H-M_alt 'P 4/m m m'
_space_group_IT_number 123
_space_group_name_Hall '-P 4 2'
_cell_length_a 5.2553
_cell_length_b 5.2553
_cell_length_c 4.2348
_cell_angle_alpha 90.00
_cell_angle_beta 90.00
_cell_angle_gamma 90.00
loop_
_atom_site_label
_atom_site_type_symbol
_atom_site_fract_x
_atom_site_fract_y
_atom_site_fract_z
Cs1 Cs 0.0000 0.0000 0.0000
Ac1 Ac 0.5000 0.5000 0.0000
P1 P 0.0000 0.5000 0.5000
# Energy of formation from the pure elements (eV per atom): -0.227
# Total magnetic moment (μB/f.u.): 0.0

Taking the records one at a time from the top gives energy values of -4.031; -4.172 eV/atom.
Taking the records one at a time from the top gives Fermi-level density of states values of 3.18; 2.66 states/eV/cell.
Taking the records one at a time from the top gives excess energy over the best structure of this formula in the dataset values of 220; 210 meV per atom.